Below is a geometry-optimized AcSn3Ir structure, with properties calculated at the GGA-PBE level.

## Properties
SG: No. 62
Calculated volume (Å³/cell): 515.48
D(E_F) (states/eV/f.u.): 2.108
Polymorph energy (0 for the lowest one) (kJ/mol of formula units): 33
ΔE_f (meV per atom): -508.5

Cell and atoms, written as POSCAR:
```
AcSn3Ir
1.0
-0.643 4.440 -1.047
-6.388 0.696 6.876
8.572 3.045 7.655
Sn Ir Ac
12 4 4
Cartesian
-3.549 2.399 7.287
-0.032 2.166 4.138
-1.518 5.757 10.144
4.567 6.436 9.288
-1.705 4.734 5.920
-3.026 1.746 4.196
3.247 3.448 7.565
3.059 2.425 3.340
1.238 4.218 12.061
5.090 5.783 6.197
0.303 3.964 1.423
1.573 6.016 9.346
-3.370 5.029 8.194
3.393 4.097 10.225
4.911 3.153 5.290
-1.852 4.085 3.259
1.639 4.988 4.945
-0.098 3.194 8.540
6.947 4.214 8.541
-5.406 3.968 4.943
```

---

Below is a geometry-optimized TiFeNi structure, with properties calculated at the GGA-PBE level.

## Properties
SG: No. 12
Calculated volume (Å³/cell): 77.05
D(E_F) (states/eV/f.u.): 3.214
ΔE_f (meV per atom): -158.6

Cell and atoms, written as POSCAR:
```
TiFeNi
1.0
3.586 0.072 0.092
0.020 3.587 0.092
-1.052 -1.068 5.936
Ni Ti Fe
2 2 2
Cartesian
1.802 1.829 1.925
0.751 0.762 4.197
0.061 0.062 1.882
2.493 2.529 4.240
1.793 0.036 0.046
0.010 1.793 0.046
```

---

Below is a geometry-optimized BaFeAgPd2 structure, with properties calculated at the GGA-PBE level.

## Properties
SG: No. 123
Calculated volume (Å³/cell): 128.54
D(E_F) (states/eV/f.u.): 4.276
ΔE_f (meV per atom): 542.4

Cell and atoms, written as POSCAR:
```
BaFeAgPd2
1.0
4.763 0.000 0.000
0.000 5.666 0.000
0.000 0.000 4.763
Pd Ba Fe Ag
2 1 1 1
Cartesian
2.381 0.000 0.000
0.000 0.000 2.381
0.000 2.833 0.000
0.000 0.000 0.000
2.381 2.833 2.381
```

---

Below is a geometry-optimized ZnCo2Rh structure, with properties calculated at the GGA-PBE level.

## Properties
SG: No. 122
Calculated volume (Å³/cell): 109.26
D(E_F) (states/eV/f.u.): 5.027
ΔE_f (meV per atom): 318.8

Cell and atoms, written as POSCAR:
```
ZnCo2Rh
1.0
-2.823 -2.089 -0.010
1.143 -1.559 2.932
-5.250 4.115 6.339
Zn Rh Co
2 2 4
Cartesian
-2.474 0.366 5.366
-0.840 -1.824 1.461
-4.457 0.101 3.895
0.000 0.000 0.000
-2.872 -0.425 1.945
-1.013 -0.253 3.415
-4.542 1.684 5.914
-5.433 -0.071 7.246
```

---

Below is a geometry-optimized PtS6N2 structure, with properties calculated at the GGA-PBE level.

## Properties
SG: No. 65
Calculated volume (Å³/cell): 293.25
D(E_F) (states/eV/f.u.): 0.265
Formation energy (no corrections) (meV per atom): 1172

Cell and atoms, written as POSCAR:
```
PtS6N2
1.0
3.628 -8.576 0.000
3.628 8.576 0.000
0.000 0.000 4.713
S Pt N
6 1 2
Cartesian
5.775 -1.760 0.000
3.628 5.429 0.000
3.628 -5.429 0.000
5.775 1.760 0.000
1.481 -1.760 0.000
1.481 1.760 0.000
0.000 0.000 0.000
3.628 2.897 2.357
3.628 -2.897 2.357
```

---

Below is a geometry-optimized PuAl3Au2 structure, with properties calculated at the GGA-PBE level.

## Properties
SG: No. 12
Calculated volume (Å³/cell): 353.19
D(E_F) (states/eV/f.u.): 14.703
ΔE_f (meV per atom): -452.8

Cell and atoms, written as POSCAR:
```
PuAl3Au2
1.0
4.234 0.000 0.000
-2.117 8.083 -2.443
0.000 0.253 10.243
Pu Al Au
3 9 6
Cartesian
0.000 0.000 0.000
0.000 2.717 6.430
2.117 5.619 1.370
2.117 2.096 1.396
2.117 7.563 4.326
2.117 2.935 8.999
0.000 5.401 -1.200
0.000 0.773 3.473
0.000 6.240 6.404
2.117 0.126 5.121
2.117 4.809 4.978
0.000 3.527 2.822
2.117 0.623 7.867
0.000 3.243 0.237
2.117 2.488 3.992
0.000 7.712 -0.067
2.117 5.093 7.563
0.000 5.848 3.808
```